Record 1
An optimized crystal structure of TiNb2CrBr, computed with PBE.

abc: 4.773 4.773 4.612
angles: 90.00 90.00 90.00
Space group P4/mmm (No. 123)
Asymmetric unit:
Ti: 0.000 0.000 0.000
Nb: 0.000 0.500 0.500
Cr: 0.500 0.500 0.000
Br: 0.000 0.000 0.500

- VASP energy (eV/atom) = -6.767


Record 2
An optimized crystal structure of LiAc2PrSe5, computed with PBE.

abc: 4.356 17.970 12.910
angles: 90.00 90.00 90.00
Space group Cmc2_1 (No. 36)
Asymmetric unit:
Li: 0.000 0.014 0.000
Ac: 0.000 0.378 0.817
Ac: 0.000 0.390 0.202
Pr: 0.000 0.304 0.518
Se: 0.000 0.002 0.803
Se: 0.000 0.137 0.517
Se: 0.000 0.194 0.860
Se: 0.000 0.210 0.178
Se: 0.000 0.456 0.584

- VASP energy (eV/atom) = -5.446